Entry 1:
VASP calculation (GGA-PBE) on a geometry-optimized IrBr4N2 structure.

a b c (Å): 6.920 6.920 7.665
angles (deg): 103.58 103.58 30.47
Fractional coordinates of all 7 atoms:
1 Ir 0.000 0.000 0.000
2 Br 0.153 0.153 0.271
3 Br 0.419 0.419 0.145
4 Br 0.581 0.581 0.855
5 Br 0.847 0.847 0.729
6 N 0.291 0.291 0.708
7 N 0.709 0.709 0.292

Values from the calculation:
theoretical density = 4.97 Mg/m³
N(E_F) = 1.55 states/eV per cell
space group = C2/m, No. 12
calculated volume = 25.79 Å³/atom
raw formation energy = 1.119 eV per atom
calculated total energy = -3.48 eV per atom

Entry 2:
VASP calculation (GGA-PBE) on a geometry-optimized Ga2TcO6 structure.

a b c (Å): 4.587 4.587 9.115
angles (deg): 90.00 90.00 90.00
Fractional coordinates of all 18 atoms:
1 Ga 0.000 0.000 0.166
2 Ga 0.000 0.000 0.834
3 Ga 0.500 0.500 0.334
4 Ga 0.500 0.500 0.666
5 Tc 0.000 0.000 0.500
6 Tc 0.500 0.500 0.000
7 O 0.194 0.194 0.338
8 O 0.194 0.194 0.662
9 O 0.204 0.204 0.000
10 O 0.296 0.704 0.500
11 O 0.306 0.694 0.162
12 O 0.306 0.694 0.838
13 O 0.694 0.306 0.162
14 O 0.694 0.306 0.838
15 O 0.704 0.296 0.500
16 O 0.796 0.796 0.000
17 O 0.806 0.806 0.338
18 O 0.806 0.806 0.662

Values from the calculation:
theoretical density = 5.78 Mg/m³
N(E_F) = 1.26 states/eV per cell
space group = P4_2/mnm, No. 136
calculated volume = 10.65 Å³/atom
raw formation energy = -1.520 eV per atom
calculated total energy = -6.65 eV per atom

Entry 3:
VASP calculation (GGA-PBE) on a geometry-optimized LiH4Pd3 structure.

a b c (Å): 4.060 4.060 4.060
angles (deg): 90.00 90.00 90.00
Fractional coordinates of all 8 atoms:
1 Li 0.000 0.000 0.000
2 H 0.000 0.000 0.500
3 H 0.000 0.500 0.000
4 H 0.500 0.000 0.000
5 H 0.500 0.500 0.500
6 Pd 0.000 0.500 0.500
7 Pd 0.500 0.000 0.500
8 Pd 0.500 0.500 0.000

Values from the calculation:
theoretical density = 8.19 Mg/m³
distance to the lowest polymorph of the same formula = 0 meV/atom
N(E_F) = 1.45 states/eV per cell
space group = Pm-3m, No. 221
calculated volume = 8.37 Å³/atom
calculated total energy = -4.09 eV per atom

Entry 4:
VASP calculation (GGA-PBE) on a geometry-optimized TeIO structure.

a b c (Å): 4.279 6.715 6.751
angles (deg): 61.52 88.52 88.55
Fractional coordinates of all 6 atoms:
1 Te 0.185 0.122 0.122
2 Te 0.815 0.878 0.878
3 I 0.226 0.657 0.657
4 I 0.774 0.343 0.343
5 O 0.251 0.943 0.943
6 O 0.749 0.057 0.057

Values from the calculation:
theoretical density = 5.27 Mg/m³
distance to the lowest polymorph of the same formula = 60 meV/atom
N(E_F) = 1.73 states/eV per cell
space group = P-1, No. 2
calculated volume = 28.41 Å³/atom
raw formation energy = -0.419 eV per atom
calculated total energy = -3.64 eV per atom

Entry 5:
VASP calculation (GGA-PBE) on a geometry-optimized Y4AlHg structure.

a b c (Å): 6.251 6.251 6.251
angles (deg): 60.00 60.00 60.00
Fractional coordinates of all 6 atoms:
1 Y 0.124 0.124 0.124
2 Y 0.124 0.124 0.627
3 Y 0.124 0.627 0.124
4 Y 0.627 0.124 0.124
5 Al 0.750 0.750 0.750
6 Hg 0.500 0.500 0.500

Values from the calculation:
theoretical density = 5.61 Mg/m³
distance to the lowest polymorph of the same formula = 444 meV/atom
calculated formation energy = 0.34 eV per atom
N(E_F) = 5.82 states/eV per cell
space group = F-43m, No. 216
calculated volume = 28.78 Å³/atom
calculated total energy = -4.64 eV per atom

Entry 6:
VASP calculation (GGA-PBE) on a geometry-optimized Ce2Cu3Pd structure.

a b c (Å): 8.430 8.430 8.430
angles (deg): 153.45 152.95 38.26
Fractional coordinates of all 6 atoms:
1 Ce 0.000 0.000 0.000
2 Ce 0.751 0.251 0.500
3 Cu 0.164 0.664 0.500
4 Cu 0.426 0.426 0.000
5 Cu 0.579 0.579 0.000
6 Pd 0.324 0.824 0.500

Values from the calculation:
theoretical density = 7.88 Mg/m³
calculated formation energy = -0.26 eV per atom
N(E_F) = 13.00 states/eV per cell
space group = Imm2, No. 44
calculated volume = 20.26 Å³/atom
calculated total energy = -5.15 eV per atom

Entry 7:
VASP calculation (GGA-PBE) on a geometry-optimized SrLaSn2 structure.

a b c (Å): 3.643 3.643 9.378
angles (deg): 90.00 90.00 90.00
Fractional coordinates of all 4 atoms:
1 Sr 0.000 0.000 0.000
2 La 0.000 0.000 0.500
3 Sn 0.500 0.500 0.255
4 Sn 0.500 0.500 0.745

Values from the calculation:
theoretical density = 6.19 Mg/m³
calculated formation energy = -0.67 eV per atom
N(E_F) = 2.10 states/eV per cell
space group = P4/mmm, No. 123
calculated volume = 31.11 Å³/atom
calculated total energy = -4.32 eV per atom

Entry 8:
VASP calculation (GGA-PBE) on a geometry-optimized PmSnHgAu structure.

a b c (Å): 5.153 5.153 5.153
angles (deg): 60.00 60.00 60.00
Fractional coordinates of all 4 atoms:
1 Pm 0.000 0.000 0.000
2 Sn 0.500 0.500 0.500
3 Hg 0.750 0.750 0.750
4 Au 0.250 0.250 0.250

Values from the calculation:
theoretical density = 11.35 Mg/m³
distance to the lowest polymorph of the same formula = 3 meV/atom
calculated formation energy = -0.53 eV per atom
N(E_F) = 1.36 states/eV per cell
space group = F-43m, No. 216
calculated volume = 24.19 Å³/atom
calculated total energy = -3.62 eV per atom